1 | The following is a PBE calculation of a relaxed Ge2IrI crystal, from Alexandria via LeMat-Bulk.

* D(E_F): 0.08 states/eV per atom
* total magnetization: 0.00 μB per cell
* volume: 119 Å³/f.u.

The structure in CIF format:
```
data_Ge2IrI
_chemical_formula_sum 'Ge4 Ir2 I2'
_cell_length_a 7.3710
_cell_length_b 7.3710
_cell_length_c 7.3710
_cell_angle_alpha 128.55
_cell_angle_beta 128.55
_cell_angle_gamma 75.73
_space_group_name_H-M_alt 'P 1'
_space_group_IT_number 1
_space_group_name_Hall 'P 1'
loop_
_atom_site_label
_atom_site_fract_x
_atom_site_fract_y
_atom_site_fract_z
Ge1 0.0217 0.6250 0.8967
Ge2 0.3750 0.2717 0.3967
Ge3 0.7283 0.1250 0.1033
Ge4 0.8750 0.9783 0.6033
Ir1 0.0000 0.0000 0.0000
Ir2 0.7500 0.2500 0.5000
I1 0.2500 0.7500 0.5000
I2 0.5000 0.5000 0.0000
```

***

2 | The following is a PBE calculation of a relaxed Ge2IrI crystal, from Alexandria via LeMat-Bulk.

* D(E_F): 0.46 states/eV per atom
* total magnetization: 0.00 μB per cell
* volume: 81 Å³/f.u.

The structure in CIF format:
```
data_Ge2IrI
_chemical_formula_sum 'Ge2 Ir1 I1'
_cell_length_a 4.8648
_cell_length_b 4.8648
_cell_length_c 4.8648
_cell_angle_alpha 60.00
_cell_angle_beta 60.00
_cell_angle_gamma 60.00
_space_group_name_H-M_alt 'P 1'
_space_group_IT_number 1
_space_group_name_Hall 'P 1'
loop_
_atom_site_label
_atom_site_fract_x
_atom_site_fract_y
_atom_site_fract_z
Ge1 0.2500 0.2500 0.2500
Ge2 0.7500 0.7500 0.7500
Ir1 0.0000 0.0000 0.0000
I1 0.5000 0.5000 0.5000
```

***

Stability summary: most stable 1, least stable 2.

***

1 | The following is a PBE calculation of a relaxed GeIrI2 crystal, from Alexandria via LeMat-Bulk.

* D(E_F): 0.81 states/eV per atom
* total magnetization: 0.00 μB per cell
* volume: 133 Å³/f.u.

The structure in CIF format:
```
data_GeIrI2
_chemical_formula_sum 'Ge2 Ir2 I4'
_cell_length_a 7.6722
_cell_length_b 7.6722
_cell_length_c 7.6722
_cell_angle_alpha 128.99
_cell_angle_beta 128.99
_cell_angle_gamma 75.03
_space_group_name_H-M_alt 'P 1'
_space_group_IT_number 1
_space_group_name_Hall 'P 1'
loop_
_atom_site_label
_atom_site_fract_x
_atom_site_fract_y
_atom_site_fract_z
Ge1 0.0000 0.0000 0.0000
Ge2 0.7500 0.2500 0.5000
Ir1 0.2500 0.7500 0.5000
Ir2 0.5000 0.5000 0.0000
I1 0.1764 0.6250 0.0514
I2 0.3750 0.4264 0.5514
I3 0.5736 0.1250 0.9486
I4 0.8750 0.8236 0.4486
```

***

2 | The following is a PBE calculation of a relaxed GeIrI2 crystal, from Alexandria via LeMat-Bulk.

* D(E_F): 0.78 states/eV per atom
* total magnetization: 1.00 μB per cell
* volume: 93 Å³/f.u.

The structure in CIF format:
```
data_GeIrI2
_chemical_formula_sum 'Ge1 Ir1 I2'
_cell_length_a 5.0869
_cell_length_b 5.0869
_cell_length_c 5.0869
_cell_angle_alpha 60.00
_cell_angle_beta 60.00
_cell_angle_gamma 60.00
_space_group_name_H-M_alt 'P 1'
_space_group_IT_number 1
_space_group_name_Hall 'P 1'
loop_
_atom_site_label
_atom_site_fract_x
_atom_site_fract_y
_atom_site_fract_z
Ge1 0.0000 0.0000 0.0000
Ir1 0.5000 0.5000 0.5000
I1 0.2500 0.2500 0.2500
I2 0.7500 0.7500 0.7500
```

***

Stability summary: most stable 1, least stable 2.

***

1 | The following is a PBE calculation of a relaxed GeIrI2N crystal, from Alexandria via LeMat-Bulk.

* D(E_F): 0.68 states/eV per atom
* total magnetization: 0.00 μB per cell
* volume: 120 Å³/f.u.

The structure in CIF format:
```
data_GeIrI2N
_chemical_formula_sum 'Ge1 Ir1 I2 N1'
_cell_length_a 5.6716
_cell_length_b 5.6716
_cell_length_c 3.7216
_cell_angle_alpha 90.00
_cell_angle_beta 90.00
_cell_angle_gamma 90.00
_space_group_name_H-M_alt 'P 1'
_space_group_IT_number 1
_space_group_name_Hall 'P 1'
loop_
_atom_site_label
_atom_site_fract_x
_atom_site_fract_y
_atom_site_fract_z
Ge1 0.0000 0.0000 0.0000
Ir1 0.5000 0.5000 0.5000
I1 0.0000 0.5000 0.5000
I2 0.5000 0.0000 0.5000
N1 0.5000 0.5000 0.0000
```

***

2 | The following is a PBE calculation of a relaxed GeIrI2N crystal, from Alexandria via LeMat-Bulk.

* D(E_F): 0.85 states/eV per atom
* total magnetization: 0.00 μB per cell
* volume: 109 Å³/f.u.

The structure in CIF format:
```
data_GeIrI2N
_chemical_formula_sum 'Ge1 Ir1 I2 N1'
_cell_length_a 5.6314
_cell_length_b 5.6314
_cell_length_c 3.4343
_cell_angle_alpha 90.00
_cell_angle_beta 90.00
_cell_angle_gamma 90.00
_space_group_name_H-M_alt 'P 1'
_space_group_IT_number 1
_space_group_name_Hall 'P 1'
loop_
_atom_site_label
_atom_site_fract_x
_atom_site_fract_y
_atom_site_fract_z
Ge1 0.0000 0.0000 0.0000
Ir1 0.5000 0.5000 0.5000
I1 0.0000 0.5000 0.0000
I2 0.5000 0.0000 0.0000
N1 0.0000 0.0000 0.5000
```

***

Stability summary: most stable 1, least stable 2.

***

1 | The following is a PBE calculation of a relaxed GeSbIrI2 crystal, from Alexandria via LeMat-Bulk.

* D(E_F): 0.81 states/eV per atom
* total magnetization: 0.65 μB per cell
* volume: 155 Å³/f.u.

The structure in CIF format:
```
data_GeSbIrI2
_chemical_formula_sum 'Ge1 Sb1 Ir1 I2'
_cell_length_a 5.5718
_cell_length_b 5.5718
_cell_length_c 4.9944
_cell_angle_alpha 90.00
_cell_angle_beta 90.00
_cell_angle_gamma 90.00
_space_group_name_H-M_alt 'P 1'
_space_group_IT_number 1
_space_group_name_Hall 'P 1'
loop_
_atom_site_label
_atom_site_fract_x
_atom_site_fract_y
_atom_site_fract_z
Ge1 0.0000 0.0000 0.0000
Sb1 0.5000 0.5000 0.0000
Ir1 0.5000 0.5000 0.5000
I1 0.0000 0.5000 0.5000
I2 0.5000 0.0000 0.5000
```

***

2 | The following is a PBE calculation of a relaxed GeSbIrI2 crystal, from Alexandria via LeMat-Bulk.

* D(E_F): 1.54 states/eV per atom
* total magnetization: 2.06 μB per cell
* volume: 165 Å³/f.u.

The structure in CIF format:
```
data_GeSbIrI2
_chemical_formula_sum 'Ge1 Sb1 Ir1 I2'
_cell_length_a 5.4410
_cell_length_b 5.4410
_cell_length_c 5.5602
_cell_angle_alpha 90.00
_cell_angle_beta 90.00
_cell_angle_gamma 90.00
_space_group_name_H-M_alt 'P 1'
_space_group_IT_number 1
_space_group_name_Hall 'P 1'
loop_
_atom_site_label
_atom_site_fract_x
_atom_site_fract_y
_atom_site_fract_z
Ge1 0.0000 0.0000 0.0000
Sb1 0.0000 0.0000 0.5000
Ir1 0.5000 0.5000 0.5000
I1 0.0000 0.5000 0.0000
I2 0.5000 0.0000 0.0000
```

***

Stability summary: most stable 1, least stable 2.

***

1 | The following is a PBE calculation of a relaxed GeSb2IrI crystal, from Alexandria via LeMat-Bulk.

* D(E_F): 0.96 states/eV per atom
* total magnetization: 0.00 μB per cell
* volume: 148 Å³/f.u.

The structure in CIF format:
```
data_GeSb2IrI
_chemical_formula_sum 'Ge1 Sb2 Ir1 I1'
_cell_length_a 5.1075
_cell_length_b 5.1075
_cell_length_c 5.6831
_cell_angle_alpha 90.00
_cell_angle_beta 90.00
_cell_angle_gamma 90.00
_space_group_name_H-M_alt 'P 1'
_space_group_IT_number 1
_space_group_name_Hall 'P 1'
loop_
_atom_site_label
_atom_site_fract_x
_atom_site_fract_y
_atom_site_fract_z
Ge1 0.0000 0.0000 0.0000
Sb1 0.0000 0.5000 0.5000
Sb2 0.5000 0.0000 0.5000
Ir1 0.5000 0.5000 0.5000
I1 0.5000 0.5000 0.0000
```

***

2 | The following is a PBE calculation of a relaxed GeSb2IrI crystal, from Alexandria via LeMat-Bulk.

* D(E_F): 0.89 states/eV per atom
* total magnetization: 0.96 μB per cell
* volume: 146 Å³/f.u.

The structure in CIF format:
```
data_GeSb2IrI
_chemical_formula_sum 'Ge1 Sb2 Ir1 I1'
_cell_length_a 5.2613
_cell_length_b 5.2613
_cell_length_c 5.2902
_cell_angle_alpha 90.00
_cell_angle_beta 90.00
_cell_angle_gamma 90.00
_space_group_name_H-M_alt 'P 1'
_space_group_IT_number 1
_space_group_name_Hall 'P 1'
loop_
_atom_site_label
_atom_site_fract_x
_atom_site_fract_y
_atom_site_fract_z
Ge1 0.0000 0.0000 0.0000
Sb1 0.0000 0.5000 0.0000
Sb2 0.5000 0.0000 0.0000
Ir1 0.5000 0.5000 0.5000
I1 0.0000 0.0000 0.5000
```

***

Stability summary: most stable 1, least stable 2.

***

1 | The following is a PBE calculation of a relaxed GeTe2IrI crystal, from Alexandria via LeMat-Bulk.

* D(E_F): 0.90 states/eV per atom
* total magnetization: 0.00 μB per cell
* volume: 149 Å³/f.u.

The structure in CIF format:
```
data_GeTe2IrI
_chemical_formula_sum 'Ge1 Te2 Ir1 I1'
_cell_length_a 5.2463
_cell_length_b 5.2463
_cell_length_c 5.4305
_cell_angle_alpha 90.00
_cell_angle_beta 90.00
_cell_angle_gamma 90.00
_space_group_name_H-M_alt 'P 1'
_space_group_IT_number 1
_space_group_name_Hall 'P 1'
loop_
_atom_site_label
_atom_site_fract_x
_atom_site_fract_y
_atom_site_fract_z
Ge1 0.0000 0.0000 0.0000
Te1 0.0000 0.5000 0.5000
Te2 0.5000 0.0000 0.5000
Ir1 0.5000 0.5000 0.5000
I1 0.5000 0.5000 0.0000
```

***

2 | The following is a PBE calculation of a relaxed GeTe2IrI crystal, from Alexandria via LeMat-Bulk.

* D(E_F): 1.21 states/eV per atom
* total magnetization: 2.68 μB per cell
* volume: 156 Å³/f.u.

The structure in CIF format:
```
data_GeTe2IrI
_chemical_formula_sum 'Ge1 Te2 Ir1 I1'
_cell_length_a 5.3561
_cell_length_b 5.3561
_cell_length_c 5.4226
_cell_angle_alpha 90.00
_cell_angle_beta 90.00
_cell_angle_gamma 90.00
_space_group_name_H-M_alt 'P 1'
_space_group_IT_number 1
_space_group_name_Hall 'P 1'
loop_
_atom_site_label
_atom_site_fract_x
_atom_site_fract_y
_atom_site_fract_z
Ge1 0.0000 0.0000 0.0000
Te1 0.0000 0.5000 0.0000
Te2 0.5000 0.0000 0.0000
Ir1 0.5000 0.5000 0.5000
I1 0.0000 0.0000 0.5000
```

***

Stability summary: most stable 1, least stable 2.